(1)
Material: MoSCl
Method: DFT, PBEsol
State: relaxed

Raw formation energy, eV per formula unit: -2.9

a = 6.7877 Å, b = 6.7877 Å, c = 6.7877 Å
α = 60.00°, β = 60.00°, γ = 60.00°
Fractional coordinates of all 12 atoms:
S (0.8857, 0.8857, 0.8857)
S (0.8857, 0.8857, 0.3430)
Cl (0.3815, 0.3815, 0.8556)
Cl (0.3815, 0.8556, 0.3815)
S (0.3430, 0.8857, 0.8857)
Mo (0.6482, 0.0555, 0.6482)
S (0.8857, 0.3430, 0.8857)
Mo (0.0555, 0.6482, 0.6482)
Cl (0.3815, 0.3815, 0.3815)
Mo (0.6482, 0.6482, 0.0555)
Cl (0.8556, 0.3815, 0.3815)
Mo (0.6482, 0.6482, 0.6482)

(2)
Material: SrMoS2Cl
Method: DFT, PBEsol
State: relaxed

Raw formation energy, eV per formula unit: 2.9

a = 5.2199 Å, b = 5.4509 Å, c = 5.4509 Å
α = 90.00°, β = 90.00°, γ = 90.00°
Site moments in Bohr magnetons follow the coordinates.
Fractional coordinates of all 5 atoms:
S (0.0000, 0.0000, 0.5000)  -0.47
Sr (0.0000, 0.0000, 0.0000)  -0.01
Cl (0.5000, 0.0000, 0.0000)  -0.01
Mo (0.5000, 0.5000, 0.5000)  3.93
S (0.0000, 0.5000, 0.0000)  -0.47

(3)
Material: TlMoSCl2
Method: DFT, PBEsol
State: relaxed

Raw formation energy, eV per formula unit: -2.4

a = 4.5941 Å, b = 4.9399 Å, c = 4.9399 Å
α = 90.00°, β = 90.00°, γ = 90.00°
Site moments in Bohr magnetons follow the coordinates.
Fractional coordinates of all 5 atoms:
Mo (0.0000, 0.0000, 0.0000)  1.07
S (0.5000, 0.0000, 0.0000)  -0.03
Cl (0.0000, 0.5000, 0.0000)  0.04
Tl (0.5000, 0.5000, 0.5000)  0.01
Cl (0.0000, 0.0000, 0.5000)  0.04

(4)
Material: YMoSCl2
Method: DFT, PBEsol
State: relaxed

Raw formation energy, eV per formula unit: -1.8

a = 5.1032 Å, b = 5.1032 Å, c = 5.2466 Å
α = 90.00°, β = 90.00°, γ = 90.00°
Site moments in Bohr magnetons follow the coordinates.
Fractional coordinates of all 5 atoms:
Cl (0.5000, 0.0000, 0.0000)  0.02
Mo (0.5000, 0.5000, 0.5000)  4.21
Y (0.0000, 0.0000, 0.0000)  0.01
S (0.0000, 0.0000, 0.5000)  -0.05
Cl (0.0000, 0.5000, 0.0000)  0.02

(5)
Material: ZrMoS2Cl
Method: DFT, PBEsol
State: relaxed

Raw formation energy, eV per formula unit: -0.1

a = 4.8502 Å, b = 4.9303 Å, c = 4.9303 Å
α = 90.00°, β = 90.00°, γ = 90.00°
Site moments in Bohr magnetons follow the coordinates.
Fractional coordinates of all 5 atoms:
Zr (0.0000, 0.0000, 0.0000)  0.04
S (0.0000, 0.0000, 0.5000)  -0.03
S (0.0000, 0.5000, 0.0000)  -0.03
Cl (0.5000, 0.0000, 0.0000)  0.03
Mo (0.5000, 0.5000, 0.5000)  4.04

(6)
Material: Sb4MoCl
Method: DFT, PBEsol
State: relaxed

Raw formation energy, eV per formula unit: 4.6

a = 6.0555 Å, b = 6.0555 Å, c = 6.0555 Å
α = 60.00°, β = 60.00°, γ = 60.00°
Site moments in Bohr magnetons follow the coordinates.
Fractional coordinates of all 6 atoms:
Mo (0.0000, 0.0000, 0.0000)  3.42
Cl (0.7500, 0.7500, 0.7500)  0.05
Sb (0.8684, 0.3772, 0.3772)  -0.03
Sb (0.3772, 0.8684, 0.3772)  -0.03
Sb (0.3772, 0.3772, 0.3772)  -0.03
Sb (0.3772, 0.3772, 0.8684)  -0.03